[1]
The following is a DFT calculation (PBE) of crystalline AcSm8Er6 at its relaxed geometry.

abc: 9.2824 9.2824 20.3711
angles: 90.00 90.00 120.00
Space group R-3 (No. 148, hexagonal axes)
One atom of each set of equivalent atoms:
Ac 0.0000 0.0000 0.0000
Sm 0.0000 0.0000 0.4278
Sm 0.0642 0.2452 0.1606
Er 0.0383 0.2381 0.6938

Summary:
- energy of formation from the pure elements (meV/atom) = 168.9

***

[2]
The following is a DFT calculation (PBE) of crystalline Mg2NiAg at its relaxed geometry.

abc: 9.983 3.135 4.547
angles: 90.00 110.15 90.00
Space group Cm (No. 8)
One atom of each set of equivalent atoms:
Mg 0.000 0.000 0.000
Mg 0.218 0.000 0.668
Ni 0.488 0.000 0.500
Ag 0.259 0.500 0.205

Summary:
- energy of formation from the pure elements (meV/atom) = -107.3

***

[3]
The following is a DFT calculation (PBE) of crystalline PaNiB at its relaxed geometry.

abc: 3.403 15.799 3.325
angles: 90.00 90.00 90.00
Space group Cmcm (No. 63)
One atom of each set of equivalent atoms:
Pa 0.000 0.092 0.250
Ni 0.000 0.249 0.750
B 0.000 0.327 0.250

Summary:
- energy of formation from the pure elements (meV/atom) = -161.6

***

[4]
The following is a DFT calculation (PBE) of crystalline GdCdCu at its relaxed geometry.

abc: 6.606 6.606 6.606
angles: 90.00 90.00 90.00
Space group F-43m (No. 216)
One atom of each set of equivalent atoms:
Gd 0.000 0.000 0.000
Cd 0.000 0.000 0.500
Cu 0.250 0.250 0.750

Summary:
- energy of formation from the pure elements (meV/atom) = -140.6

***

Number 1: DOS(E_F) 68.9 states/eV per cell. Number 2: DOS(E_F) 5.0 states/eV per cell. Number 3: DOS(E_F) 18.9 states/eV per cell. Number 4: DOS(E_F) 13.9 states/eV per cell.